Entry from Alexandria: crystalline ZnCoBr2 at its relaxed geometry (PBE).

```
ZnCoBr2
1.0
3.2613 0.0000 0.0000
0.0000 3.2613 0.0000
0.0000 0.0000 9.2652
Zn Co Br
1 1 2
Cartesian
0.0000 0.0000 0.0000
0.0000 0.0000 4.6326
1.6307 1.6307 3.0426
1.6307 1.6307 6.2226
```

As for the crystal system: tetragonal. The energy relative to the lowest polymorph listed for this composition comes out at 1.55 eV per formula unit. The space group is P4/mmm.

Entry from Alexandria: crystalline ZnCoBr2 at its relaxed geometry (PBE).

```
ZnCoBr2
1.0
3.9052 0.0000 0.0000
0.0000 3.4738 0.0000
-1.1308 0.0000 9.0560
Zn Co Br
1 1 2
Cartesian
0.0000 0.0000 0.0000
1.3872 0.0000 4.5280
0.8842 1.7369 6.1557
1.8902 1.7369 2.9002
```

As for the crystal system: monoclinic. The energy relative to the lowest polymorph listed for this composition comes out at 0.97 eV per formula unit. The space group is P2/m.

Entry from Alexandria: crystalline ZnCoBr at its relaxed geometry (PBE).

```
ZnCoBr
1.0
3.4001 0.0000 0.0000
-1.7000 2.9446 0.0000
0.0000 0.0000 5.8150
Zn Co Br
1 1 1
Cartesian
0.0000 0.0000 0.0000
0.0000 1.9630 4.2161
1.7000 0.9815 2.7224
```

As for the crystal system: trigonal. The energy relative to the lowest polymorph listed for this composition comes out at 0.00 eV per formula unit. The space group is P3m1.

Entry from Alexandria: crystalline ZnCoBr2 at its relaxed geometry (PBE).

```
ZnCoBr2
1.0
1.7899 1.0334 8.5559
-1.7899 1.0334 8.5559
0.0000 -2.0668 8.5559
Zn Co Br
1 1 2
Cartesian
0.0000 0.0000 0.0000
0.0000 0.0000 18.8752
0.0000 0.0000 6.9596
0.0000 0.0000 11.5645
```

As for the crystal system: trigonal. The energy relative to the lowest polymorph listed for this composition comes out at 0.08 eV per formula unit. The space group is R3m.

Entry from Alexandria: crystalline ZnCoBr2 at its relaxed geometry (PBE).

```
ZnCoBr2
1.0
3.6636 0.0000 0.0000
0.0000 3.7615 0.0000
0.0000 0.0000 7.1079
Zn Co Br
1 1 2
Cartesian
0.0000 0.0000 0.0000
1.8318 0.0000 3.5539
0.0000 1.8808 3.5539
1.8318 1.8808 0.0000
```

As for the crystal system: orthorhombic. The energy relative to the lowest polymorph listed for this composition comes out at 1.63 eV per formula unit. The space group is Pmmm.

Entry from Alexandria: crystalline ZnCoBr3 at its relaxed geometry (PBE).

```
ZnCoBr3
1.0
5.1356 0.0000 0.0000
0.0000 5.1356 0.0000
0.0000 0.0000 5.1356
Zn Co Br
1 1 3
Cartesian
0.0000 0.0000 0.0000
2.5678 2.5678 2.5678
0.0000 0.0000 2.5678
0.0000 2.5678 0.0000
2.5678 0.0000 0.0000
```

As for the crystal system: cubic. The energy relative to the lowest polymorph listed for this composition comes out at 1.09 eV per formula unit. The space group is Pm-3m.

Entry from Alexandria: crystalline Zn3CoBr at its relaxed geometry (PBE).

```
Zn3CoBr
1.0
4.7433 0.0000 0.0000
0.0000 4.7433 0.0000
0.0000 0.0000 4.7433
Zn Co Br
3 1 1
Cartesian
0.0000 0.0000 2.3716
0.0000 2.3716 0.0000
2.3716 0.0000 0.0000
0.0000 0.0000 0.0000
2.3716 2.3716 2.3716
```

As for the crystal system: cubic. The energy relative to the lowest polymorph listed for this composition comes out at 0.00 eV per formula unit. The space group is Pm-3m.

Entry from Alexandria: crystalline ZnCoBr2 at its relaxed geometry (PBE).

```
ZnCoBr2
1.0
-1.7010 4.3643 4.5906
1.7010 -4.3643 4.5906
1.7010 4.3643 -4.5906
Zn Co Br
1 1 2
Cartesian
0.0000 0.0000 0.0000
0.0000 4.3643 2.6588
1.7010 0.0000 1.8024
0.0000 0.0000 5.6286
```

As for the crystal system: orthorhombic. The energy relative to the lowest polymorph listed for this composition comes out at 0.68 eV per formula unit. The space group is Imm2.

Entry from Alexandria: crystalline Zn2CoBr6 at its relaxed geometry (PBE).

```
Zn2CoBr6
1.0
7.0813 -7.1996 0.0000
7.0813 7.1996 0.0000
-2.8600 0.0000 6.0549
Zn Co Br
4 2 12
Cartesian
2.1750 1.1439 2.3546
0.7449 -1.1439 5.3820
10.5577 1.1439 0.6729
9.1277 -1.1439 3.7003
4.9363 3.2237 4.5412
6.3663 -3.2237 1.5137
3.0698 4.5172 5.3170
0.8406 1.1118 4.3951
4.5085 1.8502 2.6094
2.2706 -1.1118 1.3676
6.8028 4.5172 3.7654
8.2242 1.8502 0.4180
3.0785 -1.8502 5.6369
4.4998 -4.5172 2.2895
9.0320 1.1118 4.6873
6.7942 -1.8502 3.4454
10.4620 -1.1118 1.6598
8.2328 -4.5172 0.7379
```

As for the crystal system: monoclinic. The space group is C2/c.

Entry from Alexandria: crystalline ZnCoBr2 at its relaxed geometry (PBE).

```
ZnCoBr2
1.0
-1.8529 1.8529 7.1282
1.8529 -1.8529 7.1282
1.8529 1.8529 -7.1282
Zn Co Br
1 1 2
Cartesian
0.0000 0.0000 0.0000
0.0000 1.8529 3.5641
1.8529 0.0000 3.5641
0.0000 0.0000 7.1282
```

As for the crystal system: tetragonal. The energy relative to the lowest polymorph listed for this composition comes out at 1.62 eV per formula unit. The space group is I-4m2.

Entry from Alexandria: crystalline ZnCoBr2 at its relaxed geometry (PBE).

```
ZnCoBr2
1.0
0.0000 3.4216 3.4216
3.4216 0.0000 3.4216
3.4216 3.4216 0.0000
Zn Co Br
1 1 2
Cartesian
0.0000 0.0000 0.0000
3.4216 3.4216 3.4216
1.7108 1.7108 1.7108
5.1325 5.1325 5.1325
```

As for the crystal system: cubic. The energy relative to the lowest polymorph listed for this composition comes out at 2.13 eV per formula unit. The space group is Fm-3m.

Entry from Alexandria: crystalline ZnCoBr2 at its relaxed geometry (PBE).

```
ZnCoBr2
1.0
-3.6337 3.6337 4.5917
3.6337 -3.6337 4.5917
3.6337 3.6337 -4.5917
Zn Co Br
2 2 4
Cartesian
0.0000 0.0000 0.0000
0.0000 3.6337 2.2959
3.6337 0.0000 2.2959
0.0000 0.0000 4.5917
1.8169 -1.1045 3.4438
2.5292 1.8169 1.1479
1.8169 4.7382 -1.1479
1.1045 1.8169 5.7397
```

As for the crystal system: tetragonal. The energy relative to the lowest polymorph listed for this composition comes out at 0.72 eV per formula unit. The space group is I-42d.

Looking at formation energy from raw total energies for the records above, in order, we have 0.29 0.14 0.21 -0.08 0.31 0.28 0.35 0.07 -0.67 0.30 0.43 0.08 eV per atom.